## CsHg5Br11 (GGA-PBE)

Data for CsHg5Br11 after structural relaxation.

```
17
Lattice="7.139 0.273 -2.184 -4.114 9.103 -2.377 0.120 -0.614 10.249" Properties=species:S:1:pos:R:3 pbc="T T T"
Cs 0.000 0.000 0.000
Hg 4.556 0.336 1.944
Hg -1.410 8.426 3.744
Hg -0.147 5.525 7.514
Hg 3.292 3.237 -1.826
Hg -1.997 4.244 3.936
Br 0.187 5.477 4.152
Br 2.958 3.284 1.536
Br 4.581 0.838 5.516
Br -1.435 7.924 0.172
Br 1.085 2.139 7.689
Br 2.061 6.623 -2.001
Br 3.570 0.136 -1.092
Br 3.619 7.416 1.811
Br -0.473 1.346 3.877
Br -1.528 3.768 0.729
Br 4.674 4.994 4.959
```

Output
Calculated total energy   -1.83 eV/atom
Symmetry   No. 12
DOS(E_F)   0.0 states/eV/f.u.
Energy relative to the elements, uncorrected   -0.611 eV per atom

=====

## PmHo2Er (GGA-PBE)

Data for PmHo2Er after structural relaxation.

```
4
Lattice="-2.833 -1.856 -1.073 0.417 -3.268 -1.329 -1.907 -6.163 9.814" Properties=species:S:1:pos:R:3 pbc="T T T"
Pm 0.000 0.000 0.000
Ho -3.238 -8.448 5.517
Ho -1.085 -2.839 1.895
Er -2.161 -5.644 3.706
```

Output
Calculated total energy   -4.60 eV/atom
Symmetry   No. 166
DOS(E_F)   5.6 states/eV/f.u.
Energy above the lowest structure with this stoichiometry   0.4 kJ/mol of atoms

=====

## Na4Nd3GeO8 (GGA-PBE)

Data for Na4Nd3GeO8 after structural relaxation.

```
16
Lattice="-4.229 4.617 -3.083 -3.177 -5.153 -3.359 0.537 -0.137 6.956" Properties=species:S:1:pos:R:3 pbc="T T T"
Na -2.114 2.308 -1.542
Na -1.846 2.240 1.937
Na 0.000 0.000 0.000
Na 0.269 -0.069 3.478
Nd -3.703 -0.268 -3.221
Nd -3.434 -0.337 0.257
Nd -1.320 -2.645 1.799
Ge -1.589 -2.577 -1.679
O -2.683 -2.761 3.778
O -2.972 -2.688 0.051
O -1.712 -0.316 1.875
O -4.949 -0.287 2.125
O -1.920 -0.386 -1.611
O -5.157 -0.357 -1.360
O -3.897 2.015 0.463
O -4.186 2.088 -3.263
```

Output
Calculated total energy   -6.23 eV/atom
Symmetry   No. 166
DOS(E_F)   1.4 states/eV/f.u.
Energy relative to the elements, uncorrected   -2.234 eV per atom

=====

Among the records above, which one has the lowest DOS(E_F)?
CsHg5Br11